12
Lattice="2.763 -4.188 0.000 2.763 4.188 0.000 0.000 0.000 6.289" Properties=species:S:1:pos:R:3 comment="CrNiO4 (PBE+U, relaxed)" total_magnetization_mub_per_cell=3.99 n_ef_per_ev_cell=0.0 final_energy_ev_per_atom=-6.15 sg="Cmcm (63)" pbc="T T T"
Cr 2.763 2.991 4.717
Cr 2.763 -2.991 1.572
Ni 2.763 0.000 0.000
Ni 2.763 0.000 3.145
O 1.411 0.227 1.572
O 2.763 2.035 3.394
O 2.763 2.035 6.040
O 1.411 -0.227 4.717
O 4.116 0.227 1.572
O 2.763 -2.035 0.249
O 2.763 -2.035 2.895
O 4.116 -0.227 4.717